A plane-wave DFT calculation with PBE+U was carried out for an optimized crystal structure of TlCr2O.

## Properties
excess energy over the best structure of this formula in the dataset: 0.8405 eV per atom

```
data_TlCr2O
_cell_length_a 6.578
_cell_length_b 6.578
_cell_length_c 6.578
_cell_angle_alpha 90.00
_cell_angle_beta 90.00
_cell_angle_gamma 90.00
_symmetry_space_group_name_H-M 'F m -3 m'
_symmetry_Int_Tables_number 225
_symmetry_space_group_name_Hall '-F 4 2 3'
loop_
_atom_site_label
_atom_site_type_symbol
_atom_site_fract_x
_atom_site_fract_y
_atom_site_fract_z
Tl1 Tl 0.000 0.000 0.000
Cr1 Cr 0.250 0.250 0.250
O1 O 0.000 0.000 0.500
```